La2CrF: relaxed, GGA+U.

Cell and atoms, written as extended XYZ:
```
8
Lattice="7.530 0.000 0.000 0.000 7.530 0.000 3.765 3.765 3.977" Properties=species:S:1:pos:R:3 pbc="T T T"
F 3.765 7.530 1.988
La 2.504 5.647 0.994
La 5.647 6.269 2.983
La 5.026 1.882 0.994
La 9.412 8.791 2.983
F 3.765 3.765 0.000
Cr 0.000 0.000 0.000
Cr 7.530 3.765 1.988
```

Calculated values
The space group is I-42d (122). As for the energy above the lowest structure with this stoichiometry: 0 meV/atom. As for the density of states at the Fermi level: 5.04 states/eV/f.u. For the total magnetization, the calculation gives 3.44 μB/f.u.